(1)
10
Lattice="-3.2999 1.5516 1.6606 -0.9131 -5.2229 3.0656 4.0758 4.2559 4.1227" Properties=species:S:1:pos:R:3 comment="U2CoGeC | the Alexandria database | PBE | relaxed" crystal_system=monoclinic ef_ev_per_atom=-0.224 total_magnetization_mub_per_fu=2.4 dft_energy_ev_per_atom=-8.93 space_group="No. 11" pbc="T T T"
U -0.5932 -0.1506 6.2128
U -3.0978 -2.7507 3.6653
U 0.4560 0.7352 2.6362
U 2.9606 3.3353 5.1837
Co 1.7784 0.9393 5.0732
Co -1.9156 -0.3547 3.7757
Ge -0.1903 -2.0485 3.9529
Ge 0.0531 2.6331 4.8960
C 1.8349 -0.4262 6.4614
C -1.9721 1.0108 2.3876



(2)
9
Lattice="-1.3155 -1.4604 -4.2310 5.7982 -4.3059 -2.8882 -3.6588 -6.8031 0.9136" Properties=species:S:1:pos:R:3 comment="BaIn4Hg4 | the Alexandria database | PBE | relaxed" crystal_system=tetragonal ef_ev_per_atom=-0.172 total_magnetization_mub_per_fu=0.0 de_polymorph_mev_per_atom=0 dft_energy_ev_per_atom=-1.74 space_group="No. 139" pbc="T T T"
Ba 0.0000 0.0000 0.0000
In 2.5557 -5.1579 -1.5863
In -1.7317 -7.4115 -4.6193
In -0.1352 -4.7681 -3.4560
In 0.9592 -7.8013 -2.7496
Hg -2.0195 -8.8007 -1.4786
Hg 2.8435 -3.7687 -4.7271
Hg 2.5445 -9.6780 -5.1665
Hg -1.7206 -2.8914 -1.0391



(3)
6
Lattice="-1.7298 3.0063 0.8258 -1.7828 1.7812 -2.5221 -12.3731 -5.6243 2.2541" Properties=species:S:1:pos:R:3 comment="HoFeBi | the Alexandria database | PBE | relaxed" crystal_system=trigonal ef_ev_per_atom=0.043 total_magnetization_mub_per_fu=0.3 dft_energy_ev_per_atom=-5.60 space_group="No. 166" pbc="T T T"
Fe -1.3973 1.4499 -0.5084
Fe -14.4885 -2.2867 1.0663
Bi -5.3876 -1.1220 0.4959
Bi -10.4981 0.2852 0.0620
Ho -11.5220 -2.7252 1.1798
Ho -4.3638 1.8884 -0.6219